Here is a geometry-optimized La2TaOs structure from Alexandria via LeMat-Bulk. Energies are from PBE.

Computed properties:
Distance to the lowest polymorph of the same formula, meV per atom: 520
DOS(E_F), states/eV/f.u.: 6.44
E_form, meV/atom: 528

Cell lengths 4.643, 4.684, 8.850 Å; angles 90.00, 90.00, 90.00 degrees
Positions (direct):
La 0.000 0.000 0.219
La 0.000 0.000 0.781
La 0.500 0.500 0.219
La 0.500 0.500 0.781
Ta 0.000 0.500 0.500
Ta 0.500 0.000 0.500
Os 0.000 0.500 0.000
Os 0.500 0.000 0.000